1.
First-principles (PBE-GGA) data for a relaxed structure of KTl2Hg, as listed in the Alexandria database.

abc: 12.6688 12.6688 12.6688
angles: 158.21 158.21 31.01
With the nearest neighbours (Å) after each atom.
Positions (direct):
K1 0.0000 0.0000 0.0000  4 Hg 3.39, 4 Tl 3.52
K2 0.7500 0.2500 0.5000  4 Hg 3.39, 4 Tl 3.52
Tl1 0.1424 0.6250 0.0174  4 Tl 3.27-3.51, 2 Hg 3.46, 2 K 3.52
Tl2 0.3750 0.3923 0.5174  4 Tl 3.27-3.51, 2 Hg 3.46, 2 K 3.52
Tl3 0.6076 0.1250 0.9826  4 Tl 3.27-3.51, 2 Hg 3.46, 2 K 3.52
Tl4 0.8750 0.8576 0.4826  4 Tl 3.27-3.51, 2 Hg 3.46, 2 K 3.52
Hg1 0.2500 0.7500 0.5000  4 K 3.39, 4 Tl 3.46
Hg2 0.5000 0.5000 0.0000  4 K 3.39, 4 Tl 3.46

Properties
Energy of formation from the pure elements in eV/atom: -0.0154
Energy above the most stable polymorph in this dataset in meV per atom: 104

***

2.
First-principles (PBE-GGA) data for a relaxed structure of KTl9Hg3, as listed in the Alexandria database.

abc: 8.6351 8.6351 8.7208
angles: 97.16 97.16 138.07
With the nearest neighbours (Å) after each atom.
Positions (direct):
K1 0.0000 0.0000 0.0000  14 Tl 3.90-4.36, 4 Hg 4.32
Tl1 0.0000 0.0000 0.5000  2 Hg 3.09, 4 Tl 3.35
Tl2 0.0049 0.6430 0.6437  4 Tl 3.24-3.56, 3 Hg 3.48-3.51
Tl3 0.2959 0.5094 0.7922  3 Hg 3.24-3.30, 5 Tl 3.35-3.56
Tl4 0.3570 0.9951 0.3564  4 Tl 3.24-3.56, 3 Hg 3.48-3.51
Tl5 0.4906 0.7041 0.2078  3 Hg 3.24-3.30, 5 Tl 3.35-3.56
Tl6 0.5094 0.2959 0.7922  3 Hg 3.24-3.30, 5 Tl 3.35-3.56
Tl7 0.6430 0.0049 0.6437  4 Tl 3.24-3.56, 3 Hg 3.48-3.51
Tl8 0.7041 0.4906 0.2078  3 Hg 3.24-3.30, 5 Tl 3.35-3.56
Tl9 0.9951 0.3570 0.3564  4 Tl 3.24-3.56, 3 Hg 3.48-3.51
Hg1 0.0000 0.5000 0.0000  2 Hg 3.09, 4 Tl 3.24-3.27
Hg2 0.5000 0.0000 0.0000  2 Hg 3.09, 4 Tl 3.24-3.27
Hg3 0.5000 0.5000 0.5000  6 Tl 3.09-3.30

Properties
Energy of formation from the pure elements in eV/atom: -0.0266

***

3.
First-principles (PBE-GGA) data for a relaxed structure of KTl6Hg, as listed in the Alexandria database.

abc: 5.4488 5.4488 9.4094
angles: 90.00 90.00 90.00
With the nearest neighbours (Å) after each atom.
Positions (direct):
K1 0.0000 0.0000 0.0000  16 Tl 4.10-4.13
Tl1 0.0000 0.5000 0.3251  3 Tl 3.14-3.29, 2 Hg 3.18
Tl2 0.0000 0.5000 0.6749  3 Tl 3.14-3.29, 2 Hg 3.18
Tl3 0.5000 0.0000 0.3251  3 Tl 3.14-3.29, 2 Hg 3.18
Tl4 0.5000 0.0000 0.6749  3 Tl 3.14-3.29, 2 Hg 3.18
Tl5 0.5000 0.5000 0.1592  5 Tl 3.00-3.14
Tl6 0.5000 0.5000 0.8408  5 Tl 3.00-3.14
Hg1 0.0000 0.0000 0.5000  8 Tl 3.18

Properties
Energy of formation from the pure elements in eV/atom: -0.0116
Energy above the most stable polymorph in this dataset in meV per atom: 19

***

4.
First-principles (PBE-GGA) data for a relaxed structure of K2TlHg7, as listed in the Alexandria database.

abc: 4.9252 4.9252 13.2321
angles: 90.00 90.00 90.00
With the nearest neighbours (Å) after each atom.
Positions (direct):
K1 0.0000 0.5000 0.2406  12 Hg 3.75-4.02
K2 0.5000 0.0000 0.7594  12 Hg 3.75-4.02
Tl1 0.0000 0.0000 0.5000  8 Hg 3.12-3.48
Hg1 0.0000 0.0000 0.0000  4 Hg 3.04
Hg2 0.0000 0.5000 0.6446  3 Hg 2.92-3.12, 2 Tl 3.12
Hg3 0.0000 0.5000 0.8650  5 Hg 2.92-3.04
Hg4 0.5000 0.0000 0.1350  5 Hg 2.92-3.04
Hg5 0.5000 0.0000 0.3554  3 Hg 2.92-3.12, 2 Tl 3.12
Hg6 0.5000 0.5000 0.0000  4 Hg 3.04
Hg7 0.5000 0.5000 0.5000  4 Hg 3.12, 4 Tl 3.48

Properties
Energy of formation from the pure elements in eV/atom: -0.1628

***

5.
First-principles (PBE-GGA) data for a relaxed structure of KTl2Hg, as listed in the Alexandria database.

abc: 6.8464 6.8464 6.8464
angles: 44.59 44.59 44.59
With the nearest neighbours (Å) after each atom.
Positions (direct):
K1 0.0000 0.0000 0.0000  1 Hg 3.46, 6 Tl 3.62-3.72
Tl1 0.5569 0.5569 0.5569  3 Hg 3.07
Tl2 0.7860 0.7860 0.7860  3 Hg 3.25, 3 Tl 3.56
Hg1 0.1873 0.1873 0.1873  6 Tl 3.07-3.25

Properties
Energy of formation from the pure elements in eV/atom: -0.0984
Energy above the most stable polymorph in this dataset in meV per atom: 21

***

6.
First-principles (PBE-GGA) data for a relaxed structure of K3TlHg12, as listed in the Alexandria database.

abc: 5.0302 5.0302 19.2054
angles: 90.00 90.00 90.00
With the nearest neighbours (Å) after each atom.
Positions (direct):
K1 0.0000 0.0000 0.0000  12 Hg 3.55-3.56
K2 0.0000 0.0000 0.2591  12 Hg 3.50-3.56
K3 0.0000 0.0000 0.7409  12 Hg 3.50-3.56
Tl1 0.0000 0.0000 0.5000  12 Hg 3.34-3.56
Hg1 0.0000 0.5000 0.1303  4 K 3.53-3.55, 8 Hg 3.55-3.63
Hg2 0.0000 0.5000 0.3859  8 Hg 3.34-3.56, 2 Tl 3.34, 2 K 3.50
Hg3 0.0000 0.5000 0.6141  8 Hg 3.34-3.56, 2 Tl 3.34, 2 K 3.50
Hg4 0.0000 0.5000 0.8697  4 K 3.53-3.55, 8 Hg 3.55-3.63
Hg5 0.5000 0.0000 0.1303  4 K 3.53-3.55, 8 Hg 3.55-3.63
Hg6 0.5000 0.0000 0.3859  8 Hg 3.34-3.56, 2 Tl 3.34, 2 K 3.50
Hg7 0.5000 0.0000 0.6141  8 Hg 3.34-3.56, 2 Tl 3.34, 2 K 3.50
Hg8 0.5000 0.0000 0.8697  4 K 3.53-3.55, 8 Hg 3.55-3.63
Hg9 0.5000 0.5000 0.0000  8 Hg 3.55, 4 K 3.56
Hg10 0.5000 0.5000 0.2667  8 Hg 3.40-3.63, 4 K 3.56
Hg11 0.5000 0.5000 0.5000  8 Hg 3.34, 4 Tl 3.56
Hg12 0.5000 0.5000 0.7333  8 Hg 3.40-3.63, 4 K 3.56

Properties
Energy of formation from the pure elements in eV/atom: -0.1658

***

7.
First-principles (PBE-GGA) data for a relaxed structure of KTl4Hg3, as listed in the Alexandria database.

abc: 5.1959 5.1959 9.9853
angles: 90.00 90.00 90.00
With the nearest neighbours (Å) after each atom.
Positions (direct):
K1 0.0000 0.0000 0.0000  8 Hg 3.95, 8 Tl 4.15
Tl1 0.0000 0.5000 0.3240  4 Hg 3.14-3.15
Tl2 0.0000 0.5000 0.6760  4 Hg 3.14-3.15
Tl3 0.5000 0.0000 0.3240  4 Hg 3.14-3.15
Tl4 0.5000 0.0000 0.6760  4 Hg 3.14-3.15
Hg1 0.0000 0.0000 0.5000  8 Tl 3.14
Hg2 0.5000 0.5000 0.1455  1 Hg 2.91, 4 Tl 3.15
Hg3 0.5000 0.5000 0.8545  1 Hg 2.91, 4 Tl 3.15

Properties
Energy of formation from the pure elements in eV/atom: -0.0765

***

8.
First-principles (PBE-GGA) data for a relaxed structure of KTlHg2, as listed in the Alexandria database.

abc: 5.2785 5.2785 4.5082
angles: 90.22 90.22 90.41
With the nearest neighbours (Å) after each atom.
Positions (direct):
K1 0.0000 0.0000 0.0000  8 Hg 3.46-3.48, 4 Tl 3.72-3.75
Tl1 0.5000 0.5000 0.0000  8 Hg 3.46-3.48, 4 K 3.72-3.75
Hg1 0.0000 0.5000 0.5000  4 Tl 3.46-3.48, 4 K 3.46-3.48, 4 Hg 3.72-3.75
Hg2 0.5000 0.0000 0.5000  4 Tl 3.46-3.48, 4 K 3.46-3.48, 4 Hg 3.72-3.75

Properties
Energy of formation from the pure elements in eV/atom: -0.1379
Energy above the most stable polymorph in this dataset in meV per atom: 27

***

9.
First-principles (PBE-GGA) data for a relaxed structure of KTlHg, as listed in the Alexandria database.

abc: 3.9588 3.9588 7.8557
angles: 90.00 90.00 120.00
With the nearest neighbours (Å) after each atom.
Positions (direct):
K1 0.0000 0.0000 0.0000  3 Hg 3.50, 3 Tl 3.74
Tl1 0.6667 0.3333 0.3765  3 Hg 3.21
Hg1 0.3333 0.6667 0.6627  3 Tl 3.21, 3 K 3.50

Properties
Energy of formation from the pure elements in eV/atom: -0.0377
Energy above the most stable polymorph in this dataset in meV per atom: 162

***

10.
First-principles (PBE-GGA) data for a relaxed structure of KTl2Hg, as listed in the Alexandria database.

abc: 5.8981 5.8981 5.8981
angles: 128.60 124.79 78.79
With the nearest neighbours (Å) after each atom.
Positions (direct):
K1 0.0000 0.0000 0.0000  4 Hg 3.48-3.51, 8 Tl 3.49-3.74
Tl1 0.2618 0.7618 0.5000  4 Tl 3.40-3.58, 4 K 3.49-3.50, 4 Hg 3.75
Tl2 0.5081 0.5081 0.0000  4 Hg 3.33-3.66, 4 Tl 3.40-3.58
Hg1 0.7419 0.2419 0.5000  4 Tl 3.33-3.66, 4 K 3.48-3.51

Properties
Energy of formation from the pure elements in eV/atom: -0.0842
Energy above the most stable polymorph in this dataset in meV per atom: 35

***

11.
First-principles (PBE-GGA) data for a relaxed structure of KTlHg6, as listed in the Alexandria database.

abc: 5.5655 6.9531 6.9531
angles: 60.11 90.00 90.00
With the nearest neighbours (Å) after each atom.
Positions (direct):
K1 0.0000 0.0000 0.0000  12 Hg 3.47-3.50
Tl1 0.5000 0.6704 0.6704  12 Hg 3.45-3.49
Hg1 0.0000 0.0094 0.4959  8 Hg 3.38-3.58, 2 Tl 3.45, 2 K 3.47-3.48
Hg2 0.0000 0.4959 0.0094  8 Hg 3.38-3.58, 2 Tl 3.45, 2 K 3.47-3.48
Hg3 0.0000 0.5000 0.5000  8 Hg 3.39-3.53, 2 Tl 3.46, 2 K 3.48
Hg4 0.5000 0.1764 0.1764  8 Hg 3.30-3.65, 2 Tl 3.48, 2 K 3.50
Hg5 0.5000 0.1798 0.6494  7 Hg 3.27-3.65, 2 Tl 3.47-3.49, 2 K 3.49
Hg6 0.5000 0.6494 0.1798  7 Hg 3.27-3.65, 2 Tl 3.47-3.49, 2 K 3.49

Properties
Energy of formation from the pure elements in eV/atom: -0.1229

***

12.
First-principles (PBE-GGA) data for a relaxed structure of KTl6Hg12, as listed in the Alexandria database.

abc: 8.8763 8.8763 8.8763
angles: 105.89 105.89 105.89
With the nearest neighbours (Å) after each atom.
Positions (direct):
K1 0.0000 0.0000 0.0000  6 Hg 3.56
Tl1 0.2786 0.7024 0.7025  8 Hg 3.15-3.38
Tl2 0.2975 0.2975 0.7214  8 Hg 3.15-3.38
Tl3 0.2975 0.7214 0.2975  8 Hg 3.15-3.38
Tl4 0.7025 0.2786 0.7025  8 Hg 3.15-3.38
Tl5 0.7025 0.7025 0.2786  8 Hg 3.15-3.38
Tl6 0.7214 0.2975 0.2975  8 Hg 3.15-3.38
Hg1 0.1081 0.5000 0.8919  3 Hg 3.06-3.38, 4 Tl 3.15-3.26
Hg2 0.1081 0.8919 0.5000  3 Hg 3.06-3.38, 4 Tl 3.15-3.26
Hg3 0.1324 0.3680 0.3680  4 Tl 3.20-3.38, 4 Hg 3.34-3.38, 1 K 3.56
Hg4 0.3680 0.1324 0.3680  4 Tl 3.20-3.38, 4 Hg 3.34-3.38, 1 K 3.56
Hg5 0.3680 0.3680 0.1324  4 Tl 3.20-3.38, 4 Hg 3.34-3.38, 1 K 3.56
Hg6 0.5000 0.1081 0.8919  3 Hg 3.06-3.38, 4 Tl 3.15-3.26
Hg7 0.5000 0.8919 0.1081  3 Hg 3.06-3.38, 4 Tl 3.15-3.26
Hg8 0.6320 0.6320 0.8676  4 Tl 3.20-3.38, 4 Hg 3.34-3.38, 1 K 3.56
Hg9 0.6320 0.8676 0.6320  4 Tl 3.20-3.38, 4 Hg 3.34-3.38, 1 K 3.56
Hg10 0.8676 0.6320 0.6320  4 Tl 3.20-3.38, 4 Hg 3.34-3.38, 1 K 3.56
Hg11 0.8919 0.1081 0.5000  3 Hg 3.06-3.38, 4 Tl 3.15-3.26
Hg12 0.8919 0.5000 0.1081  3 Hg 3.06-3.38, 4 Tl 3.15-3.26

Properties
Energy of formation from the pure elements in eV/atom: -0.0075
Energy above the most stable polymorph in this dataset in meV per atom: 51